No. 1
# La2TaSb GGA-PBE optimized geometry
data_La2TaSb
_cell_length_a 3.9868
_cell_length_b 5.1420
_cell_length_c 10.8272
_cell_angle_alpha 90.00
_cell_angle_beta 90.00
_cell_angle_gamma 90.00
_symmetry_space_group_name_H-M 'I m m 2'
_symmetry_Int_Tables_number 44
loop_
_symmetry_equiv_pos_as_xyz
'x,y,z'
'-x,-y,z'
'-x,y,z'
'x,-y,z'
'x+1/2,y+1/2,z+1/2'
'-x+1/2,-y+1/2,z+1/2'
'-x+1/2,y+1/2,z+1/2'
'x+1/2,-y+1/2,z+1/2'
loop_
_atom_site_label
_atom_site_type_symbol
_atom_site_fract_x
_atom_site_fract_y
_atom_site_fract_z
_atom_site_occupancy
La1 La 0.0000 0.0000 0.0000 1
La2 La 0.0000 0.5000 0.2280 1
Ta1 Ta 0.0000 0.0000 0.4659 1
Sb1 Sb 0.0000 0.5000 0.7784 1
# Formation energy (no corrections), kJ/mol of formula units: -39
# Crystal system: orthorhombic

=====

No. 2
# La3TaSb GGA-PBE optimized geometry
data_La3TaSb
_cell_length_a 5.5455
_cell_length_b 5.5455
_cell_length_c 5.5455
_cell_angle_alpha 90.00
_cell_angle_beta 90.00
_cell_angle_gamma 90.00
_symmetry_space_group_name_H-M 'P m -3 m'
_symmetry_Int_Tables_number 221
_symmetry_space_group_name_Hall '-P 4 2 3'
loop_
_atom_site_label
_atom_site_type_symbol
_atom_site_fract_x
_atom_site_fract_y
_atom_site_fract_z
_atom_site_occupancy
La1 La 0.0000 0.0000 0.5000 1
Ta1 Ta 0.0000 0.0000 0.0000 1
Sb1 Sb 0.5000 0.5000 0.5000 1
# Distance to the lowest polymorph of the same formula, meV/atom: 0.0
# Formation energy (no corrections), kJ/mol of formula units: 52
# Crystal system: cubic

=====

No. 3
# LaTa2Sb GGA-PBE optimized geometry
data_LaTa2Sb
_cell_length_a 3.3795
_cell_length_b 5.1408
_cell_length_c 5.3206
_cell_angle_alpha 90.00
_cell_angle_beta 91.38
_cell_angle_gamma 90.00
_symmetry_space_group_name_H-M 'P 1 2/m 1'
_symmetry_Int_Tables_number 10
loop_
_symmetry_equiv_pos_as_xyz
'x,y,z'
'-x,-y,-z'
'-x,y,-z'
'x,-y,z'
loop_
_atom_site_label
_atom_site_type_symbol
_atom_site_fract_x
_atom_site_fract_y
_atom_site_fract_z
_atom_site_occupancy
La1 La 0.0000 0.0000 0.0000 1
Ta1 Ta 0.2927 0.5000 0.7705 1
Sb1 Sb 0.5000 0.0000 0.5000 1
# Formation energy (no corrections), kJ/mol of formula units: 130
# Crystal system: monoclinic

=====

Energy (eV/atom)
-6.559; -6.044; -7.852